Record 1
A plane-wave DFT calculation with PBE-GGA was carried out for crystalline ZrSc3As4 at its relaxed geometry.

total DFT energy (no corrections)	-56.783	eV/f.u.
calculated volume	20.5	Å³ per atom

a b c (Å): 7.7471 10.9378 3.8751
angles (deg): 90.00 90.00 90.00
Closest atoms and distances in Å follow each position.
Positions (direct):
Zr 0.0000 0.0000 0.0000  6 As 2.74-2.75
Zr 0.5000 0.5000 0.0000  6 As 2.74-2.75
Sc 0.0000 0.5000 0.0000  6 As 2.73
Sc 0.2500 0.2500 0.5000  6 As 2.73-2.74
Sc 0.2500 0.7500 0.5000  6 As 2.73-2.74
Sc 0.5000 0.0000 0.0000  6 As 2.73
Sc 0.7500 0.2500 0.5000  6 As 2.73-2.74
Sc 0.7500 0.7500 0.5000  6 As 2.73-2.74
As 0.0000 0.2506 0.0000  5 Sc 2.73-2.74, 1 Zr 2.74
As 0.0000 0.7494 0.0000  5 Sc 2.73-2.74, 1 Zr 2.74
As 0.2484 0.5000 0.5000  4 Sc 2.73, 2 Zr 2.75
As 0.2516 0.0000 0.5000  4 Sc 2.73, 2 Zr 2.75
As 0.5000 0.2494 0.0000  5 Sc 2.73-2.74, 1 Zr 2.74
As 0.5000 0.7506 0.0000  5 Sc 2.73-2.74, 1 Zr 2.74
As 0.7484 0.0000 0.5000  4 Sc 2.73, 2 Zr 2.75
As 0.7516 0.5000 0.5000  4 Sc 2.73, 2 Zr 2.75

***

Record 2
A plane-wave DFT calculation with PBE-GGA was carried out for crystalline PrSm2Ga3 at its relaxed geometry.

total DFT energy (no corrections)	-26.677	eV/f.u.
calculated volume	24.8	Å³ per atom

a b c (Å): 3.6690 3.6690 11.0589
angles (deg): 90.00 90.00 90.00
Closest atoms and distances in Å follow each position.
Positions (direct):
Pr 0.0000 0.0000 0.0000  8 Ga 3.23
Sm 0.0000 0.0000 0.3359  8 Ga 3.15-3.17
Sm 0.0000 0.0000 0.6641  8 Ga 3.15-3.17
Ga 0.5000 0.5000 0.1738  4 Sm 3.15, 4 Pr 3.23
Ga 0.5000 0.5000 0.5000  8 Sm 3.17
Ga 0.5000 0.5000 0.8262  4 Sm 3.15, 4 Pr 3.23